[1]
Entry from the Alexandria database: crystalline Al2Ag3Au3 at its relaxed geometry (GGA-PBE).

a = 2.993 Å, b = 7.321 Å, c = 7.321 Å
α = 120.00°, β = 90.00°, γ = 90.00°
Atoms (fractional coordinates):
Al: 0.000 0.333 0.667
Au: 0.500 0.600 0.000
Al: 0.000 0.667 0.333
Au: 0.500 0.000 0.600
Au: 0.500 0.400 0.400
Ag: 0.000 0.000 0.234
Ag: 0.000 0.234 0.000
Ag: 0.000 0.766 0.766

Calculated values
- distance to the lowest polymorph of the same formula (eV per atom) = 0.000
- mass density (g/cm3) = 11.6
- size of the total moment (μB/cell) = 0.00
- energy relative to the elements (eV/atom) = -0.211

[2]
Entry from the Alexandria database: crystalline AlAg2Au2 at its relaxed geometry (GGA-PBE).

a = 6.907 Å, b = 6.907 Å, c = 3.912 Å
α = 90.00°, β = 90.00°, γ = 90.00°
Atoms (fractional coordinates):
Au: 0.843 0.343 0.500
Ag: 0.854 0.646 0.000
Ag: 0.146 0.354 0.000
Au: 0.657 0.843 0.500
Al: 0.000 0.000 0.000
Ag: 0.646 0.146 0.000
Ag: 0.354 0.854 0.000
Al: 0.500 0.500 0.000
Au: 0.157 0.657 0.500
Au: 0.343 0.157 0.500

Calculated values
- distance to the lowest polymorph of the same formula (eV per atom) = 0.207
- mass density (g/cm3) = 11.3
- size of the total moment (μB/cell) = 0.00
- energy relative to the elements (eV/atom) = 0.053

[3]
Entry from the Alexandria database: crystalline Al2AgAu4 at its relaxed geometry (GGA-PBE).

a = 6.430 Å, b = 6.430 Å, c = 7.777 Å
α = 110.43°, β = 106.02°, γ = 104.11°
Atoms (fractional coordinates):
Au: 0.752 0.009 0.639
Al: 0.626 0.875 0.251
Au: 0.357 0.125 0.867
Al: 0.625 0.375 0.749
Au: 0.879 0.636 0.138
Au: 0.498 0.741 0.862
Au: 0.370 0.113 0.361
Au: 0.894 0.625 0.634
Al: 0.125 0.374 0.750
Al: 0.625 0.375 0.250
Ag: 0.259 0.760 0.500
Ag: 0.990 0.990 0.000
Au: 0.259 0.491 0.134
Au: 0.991 0.260 0.366

Calculated values
- distance to the lowest polymorph of the same formula (eV per atom) = 0.108
- mass density (g/cm3) = 11.8
- size of the total moment (μB/cell) = 0.00
- energy relative to the elements (eV/atom) = -0.141

[4]
Entry from the Alexandria database: crystalline AlAg2Au at its relaxed geometry (GGA-PBE).

a = 4.599 Å, b = 4.599 Å, c = 4.599 Å
α = 60.00°, β = 60.00°, γ = 60.00°
Atoms (fractional coordinates):
Au: 0.250 0.250 0.250
Ag: 0.750 0.750 0.750
Ag: 0.000 0.000 0.000
Al: 0.500 0.500 0.500

Calculated values
- mass density (g/cm3) = 10.6
- size of the total moment (μB/cell) = 0.00
- energy relative to the elements (eV/atom) = -0.119

[5]
Entry from the Alexandria database: crystalline Al2Ag3Au4 at its relaxed geometry (GGA-PBE).

a = 3.623 Å, b = 5.191 Å, c = 9.287 Å
α = 74.45°, β = 89.97°, γ = 69.36°
Atoms (fractional coordinates):
Au: 0.689 0.625 0.879
Au: 0.311 0.375 0.121
Ag: 0.660 0.679 0.554
Al: 0.327 0.347 0.769
Au: 0.014 0.970 0.316
Ag: 0.000 0.000 0.000
Al: 0.673 0.653 0.231
Au: 0.986 0.030 0.684
Ag: 0.340 0.321 0.446

Calculated values
- distance to the lowest polymorph of the same formula (eV per atom) = 0.000
- mass density (g/cm3) = 12.4
- size of the total moment (μB/cell) = 0.00
- energy relative to the elements (eV/atom) = -0.173

[6]
Entry from the Alexandria database: crystalline AlAg4Au at its relaxed geometry (GGA-PBE).

a = 5.457 Å, b = 5.457 Å, c = 5.457 Å
α = 60.00°, β = 60.00°, γ = 60.00°
Atoms (fractional coordinates):
Ag: 0.625 0.125 0.625
Ag: 0.625 0.625 0.125
Al: 0.250 0.250 0.250
Ag: 0.625 0.625 0.625
Ag: 0.125 0.625 0.625
Au: 0.000 0.000 0.000

Calculated values
- distance to the lowest polymorph of the same formula (eV per atom) = 0.266
- mass density (g/cm3) = 9.5
- size of the total moment (μB/cell) = 0.00
- energy relative to the elements (eV/atom) = 0.198

Copy entry 3 word for word.
Entry from the Alexandria database: crystalline Al2AgAu4 at its relaxed geometry (GGA-PBE).

a = 6.430 Å, b = 6.430 Å, c = 7.777 Å
α = 110.43°, β = 106.02°, γ = 104.11°
Atoms (fractional coordinates):
Au: 0.752 0.009 0.639
Al: 0.626 0.875 0.251
Au: 0.357 0.125 0.867
Al: 0.625 0.375 0.749
Au: 0.879 0.636 0.138
Au: 0.498 0.741 0.862
Au: 0.370 0.113 0.361
Au: 0.894 0.625 0.634
Al: 0.125 0.374 0.750
Al: 0.625 0.375 0.250
Ag: 0.259 0.760 0.500
Ag: 0.990 0.990 0.000
Au: 0.259 0.491 0.134
Au: 0.991 0.260 0.366

Calculated values
- distance to the lowest polymorph of the same formula (eV per atom) = 0.108
- mass density (g/cm3) = 11.8
- size of the total moment (μB/cell) = 0.00
- energy relative to the elements (eV/atom) = -0.141